# 1
LaMgHSe2 after structural relaxation, computed with GGA-PBE.

Unit cell a=5.1646 b=5.1646 c=3.9046 alpha=90.00 beta=90.00 gamma=90.00
Positions (direct):
La: 0.0000 0.0000 0.0000
Mg: 0.5000 0.5000 0.5000
H: 0.5000 0.5000 0.0000
Se: 0.0000 0.5000 0.5000
Se: 0.5000 0.0000 0.5000

## Properties
- Calculated volume: 20.83 Å³/atom
- Raw total energy: -22.7 eV per cell
- Crystal system: tetragonal



# 2
LaMg2SnH after structural relaxation, computed with GGA-PBE.

Unit cell a=4.7233 b=4.7233 c=4.7218 alpha=90.00 beta=90.00 gamma=90.00
Positions (direct):
La: 0.0000 0.0000 0.0000
Mg: 0.0000 0.5000 0.5000
Mg: 0.5000 0.0000 0.5000
Sn: 0.5000 0.5000 0.0000
H: 0.0000 0.0000 0.5000

## Properties
- Calculated volume: 21.07 Å³/atom
- Raw total energy: -17.5 eV per cell
- Crystal system: tetragonal



# 3
LaMgSn2H after structural relaxation, computed with GGA-PBE.

Unit cell a=4.9342 b=4.9342 c=4.5758 alpha=90.00 beta=90.00 gamma=90.00
Positions (direct):
La: 0.0000 0.0000 0.0000
Mg: 0.5000 0.5000 0.0000
Sn: 0.0000 0.5000 0.5000
Sn: 0.5000 0.0000 0.5000
H: 0.0000 0.0000 0.5000

## Properties
- Calculated volume: 22.28 Å³/atom
- Raw total energy: -19.5 eV per cell
- Crystal system: tetragonal



# 4
La2MgSnH after structural relaxation, computed with GGA-PBE.

Unit cell a=5.0016 b=5.0016 c=4.7407 alpha=90.00 beta=90.00 gamma=90.00
Positions (direct):
La: 0.0000 0.5000 0.0000
La: 0.5000 0.0000 0.0000
Mg: 0.0000 0.0000 0.5000
Sn: 0.5000 0.5000 0.5000
H: 0.0000 0.0000 0.0000

## Properties
- Calculated volume: 23.72 Å³/atom
- Raw total energy: -21.3 eV per cell
- Crystal system: tetragonal



# 5
LaMgSnH after structural relaxation, computed with GGA-PBE.

Unit cell a=4.5047 b=4.5047 c=8.3888 alpha=90.00 beta=90.00 gamma=90.00
Positions (direct):
La: 0.2500 0.2500 0.1326
La: 0.7500 0.7500 0.8674
Mg: 0.2500 0.7500 0.5000
Mg: 0.7500 0.2500 0.5000
Sn: 0.2500 0.2500 0.7224
Sn: 0.7500 0.7500 0.2776
H: 0.2500 0.7500 0.0000
H: 0.7500 0.2500 0.0000

## Properties
- Calculated volume: 21.28 Å³/atom
- Raw total energy: -32.8 eV per cell
- Crystal system: tetragonal



# 6
LaMgTcH2 after structural relaxation, computed with GGA-PBE.

Unit cell a=3.8763 b=3.8763 c=5.4592 alpha=90.00 beta=90.00 gamma=90.00
Positions (direct):
La: 0.0000 0.0000 0.0000
Mg: 0.5000 0.5000 0.5000
Tc: 0.5000 0.5000 0.0000
H: 0.0000 0.5000 0.5000
H: 0.5000 0.0000 0.5000

## Properties
- Calculated volume: 16.41 Å³/atom
- Raw total energy: -21.2 eV per cell
- Crystal system: tetragonal



# 7
LaMgTcH6 after structural relaxation, computed with GGA-PBE.

Unit cell a=4.7591 b=4.7591 c=4.6271 alpha=90.00 beta=90.00 gamma=120.00
Positions (direct):
La: 0.0000 0.0000 0.0000
Mg: 0.6667 0.3333 0.5000
Tc: 0.3333 0.6667 0.5000
H: 0.0360 0.5180 0.2290
H: 0.0360 0.5180 0.7710
H: 0.4820 0.5180 0.2290
H: 0.4820 0.5180 0.7710
H: 0.4820 0.9640 0.2290
H: 0.4820 0.9640 0.7710

## Properties
- Calculated volume: 10.08 Å³/atom
- Raw total energy: -40.1 eV per cell
- Crystal system: hexagonal



# 8
La6Mg2TcH after structural relaxation, computed with GGA-PBE.

Unit cell a=7.5179 b=7.5271 c=7.5468 alpha=60.70 beta=60.39 gamma=88.48
Positions (direct):
La: 0.1821 0.1964 0.0463
La: 0.2764 0.7258 0.5033
La: 0.2882 0.7105 0.9934
La: 0.7118 0.2895 0.0066
La: 0.7236 0.2742 0.4967
La: 0.8179 0.8036 0.9537
Mg: 0.2349 0.2468 0.5063
Mg: 0.7651 0.7532 0.4937
Tc: 0.5000 0.0000 0.0000
H: 0.0000 0.5000 0.0000

## Properties
- Calculated volume: 31.05 Å³/atom
- Raw total energy: -47.1 eV per cell
- Crystal system: triclinic



# 9
La2MgTiH after structural relaxation, computed with GGA-PBE.

Unit cell a=5.3991 b=5.3991 c=4.0452 alpha=90.00 beta=90.00 gamma=90.00
Positions (direct):
La: 0.0000 0.5000 0.0000
La: 0.5000 0.0000 0.0000
Mg: 0.0000 0.0000 0.5000
Ti: 0.5000 0.5000 0.5000
H: 0.5000 0.5000 0.0000

## Properties
- Calculated volume: 23.58 Å³/atom
- Raw total energy: -23.0 eV per cell
- Crystal system: tetragonal



# 10
La2MgTlH after structural relaxation, computed with GGA-PBE.

Unit cell a=5.0020 b=5.0020 c=4.8124 alpha=90.00 beta=90.00 gamma=90.00
Positions (direct):
La: 0.0000 0.5000 0.0000
La: 0.5000 0.0000 0.0000
Mg: 0.0000 0.0000 0.5000
Tl: 0.5000 0.5000 0.5000
H: 0.0000 0.0000 0.0000

## Properties
- Calculated volume: 24.08 Å³/atom
- Raw total energy: -18.9 eV per cell
- Polymorph energy (0 for the lowest one): 0 meV per atom
- Crystal system: tetragonal



# 11
LaMgTlH after structural relaxation, computed with GGA-PBE.

Unit cell a=4.5177 b=4.5177 c=8.4530 alpha=90.00 beta=90.00 gamma=90.00
Positions (direct):
La: 0.2500 0.2500 0.1331
La: 0.7500 0.7500 0.8669
Mg: 0.2500 0.7500 0.5000
Mg: 0.7500 0.2500 0.5000
Tl: 0.2500 0.2500 0.7264
Tl: 0.7500 0.7500 0.2736
H: 0.2500 0.7500 0.0000
H: 0.7500 0.2500 0.0000

## Properties
- Calculated volume: 21.57 Å³/atom
- Raw total energy: -28.0 eV per cell
- Crystal system: tetragonal



# 12
LaMg2TlH after structural relaxation, computed with GGA-PBE.

Unit cell a=4.7793 b=4.7793 c=4.7336 alpha=90.00 beta=90.00 gamma=90.00
Positions (direct):
La: 0.0000 0.0000 0.0000
Mg: 0.0000 0.5000 0.5000
Mg: 0.5000 0.0000 0.5000
Tl: 0.5000 0.5000 0.0000
H: 0.0000 0.0000 0.5000

## Properties
- Calculated volume: 21.62 Å³/atom
- Raw total energy: -15.2 eV per cell
- Crystal system: tetragonal



For the records above, the corresponding total magnetic moment values read 0.000, 0.000, 0.000, 0.000, 0.000, 0.000, 0.000, 0.000, 0.523, 0.000, 0.000, 0.000 μB/atom.